Run i
Mg2TeCl | PBE-GGA | relaxed

calculated volume: 107.2 Å³/f.u.
M_tot: 0.000 μB per atom
D(E_F): 0.40 states/eV/atom

Cell and atoms, written as extended XYZ:
```
4
Lattice="3.293 0.000 0.000 0.000 3.293 0.000 0.000 0.000 9.886" Properties=species:S:1:pos:R:3 pbc="T T T"
Mg 0.000 0.000 9.727
Mg 1.646 1.646 2.256
Cl 1.646 1.646 8.380
Te 0.000 0.000 4.352
```

---

Run ii
Mg2TeCl | PBE-GGA | relaxed

calculated volume: 101.6 Å³/f.u.
M_tot: 0.000 μB per atom
D(E_F): 0.45 states/eV/atom

Cell and atoms, written as extended XYZ:
```
4
Lattice="-1.796 2.977 -2.458 -3.086 -1.099 -2.720 -6.030 1.726 2.855" Properties=species:S:1:pos:R:3 pbc="T T T"
Te -8.185 2.703 -1.742
Mg -4.907 1.885 -5.164
Mg -5.433 1.795 -1.175
Cl -2.728 0.901 -0.581
```

---

Run iii
Mg2TeCl | PBE-GGA | relaxed

calculated volume: 100.3 Å³/f.u.
M_tot: 0.000 μB per atom
D(E_F): 0.18 states/eV/atom

Cell and atoms, written as extended XYZ:
```
4
Lattice="-2.802 -3.192 0.332 2.884 -2.012 4.999 -2.262 2.214 2.196" Properties=species:S:1:pos:R:3 pbc="T T T"
Cl 0.311 0.101 3.597
Mg 0.041 -2.602 2.665
Te -2.532 -0.489 1.264
Mg 0.000 0.000 0.000
```

---

Run iv
Mg2TeCl | PBE-GGA | relaxed

calculated volume: 98.3 Å³/f.u.
M_tot: 0.000 μB per atom
D(E_F): 0.61 states/eV/atom

Cell and atoms, written as extended XYZ:
```
4
Lattice="-4.061 -2.267 -2.280 -3.138 -3.066 2.754 -4.808 1.560 1.130" Properties=species:S:1:pos:R:3 pbc="T T T"
Cl -6.004 -1.886 0.802
Te -9.006 -2.830 1.203
Mg -3.002 -0.943 0.401
Mg 0.000 0.000 0.000
```

---

What should be chosen as the least stable of them? Choose run iv.

---

Run i
Mg2TeCl | PBE-GGA | relaxed

calculated volume: 102.8 Å³/f.u.
M_tot: 0.000 μB per atom
D(E_F): 0.40 states/eV/atom

Cell and atoms, written as extended XYZ:
```
4
Lattice="3.780 0.000 0.000 0.000 3.911 -0.012 0.000 0.022 6.953" Properties=species:S:1:pos:R:3 pbc="T T T"
Mg 0.000 2.943 3.220
Te 1.890 0.983 1.735
Mg 0.000 2.935 0.239
Cl 1.890 2.950 5.206
```

---

Run ii
Mg2TeCl | PBE-GGA | relaxed

calculated volume: 107.2 Å³/f.u.
M_tot: 0.000 μB per atom
D(E_F): 0.28 states/eV/atom

Cell and atoms, written as extended XYZ:
```
4
Lattice="6.244 -0.615 0.505 2.864 5.582 -0.505 -3.767 -3.927 3.164" Properties=species:S:1:pos:R:3 pbc="T T T"
Mg 3.609 -0.979 1.834
Mg 0.186 0.102 0.000
Cl 1.341 1.805 1.330
Te 4.760 2.596 0.000
```

---

What should be chosen as the least stable of them? Choose run ii.

---

Run i
Mg2TeCl | PBE-GGA | relaxed

calculated volume: 109.4 Å³/f.u.
M_tot: 0.000 μB per atom
D(E_F): 0.52 states/eV/atom

Cell and atoms, written as extended XYZ:
```
4
Lattice="-3.301 0.480 -0.189 0.406 -3.309 0.227 -0.489 0.635 10.135" Properties=species:S:1:pos:R:3 pbc="T T T"
Cl -1.861 -0.877 8.591
Mg -1.559 -1.269 2.334
Te -0.214 0.278 4.445
Mg -0.483 0.627 10.005
```

---

Run ii
Mg2TeCl | PBE-GGA | relaxed

calculated volume: 94.5 Å³/f.u.
M_tot: 0.000 μB per atom
D(E_F): 0.26 states/eV/atom

Cell and atoms, written as extended XYZ:
```
4
Lattice="-1.881 4.298 -2.192 -3.641 0.296 3.671 5.154 0.191 0.466" Properties=species:S:1:pos:R:3 pbc="T T T"
Cl -0.624 1.392 2.438
Te 0.256 3.393 -0.494
Mg -0.154 0.128 0.041
Mg -2.606 2.169 0.698
```

---

Run iii
Mg2TeCl | PBE-GGA | relaxed

calculated volume: 125.4 Å³/f.u.
M_tot: 0.000 μB per atom
D(E_F): 0.58 states/eV/atom

Cell and atoms, written as extended XYZ:
```
8
Lattice="-3.302 -4.647 1.706 4.781 -2.464 2.545 -0.785 -0.242 8.197" Properties=species:S:1:pos:R:3 pbc="T T T"
Mg 0.554 -6.325 9.786
Cl 2.368 -3.130 6.433
Te -1.674 -4.222 6.014
Mg -1.558 -3.125 3.380
Cl 0.740 -3.555 2.126
Mg 0.118 -2.926 7.822
Te 0.000 0.000 0.000
Mg 2.275 -2.329 3.907
```

---

What should be chosen as the least stable of them? Choose run i.

---

Run i
Mg2TeCl | PBE-GGA | relaxed

calculated volume: 91.6 Å³/f.u.
M_tot: 0.000 μB per atom
D(E_F): 0.40 states/eV/atom

Cell and atoms, written as extended XYZ:
```
4
Lattice="-4.743 0.133 -1.754 -3.447 2.942 2.249 -1.712 4.140 -2.350" Properties=species:S:1:pos:R:3 pbc="T T T"
Mg -2.476 1.804 -0.464
Cl 0.000 0.000 0.000
Mg -7.427 5.412 -1.392
Te -4.951 3.608 -0.928
```

---

Run ii
Mg2TeCl | PBE-GGA | relaxed

calculated volume: 111.3 Å³/f.u.
M_tot: 0.000 μB per atom
D(E_F): 0.30 states/eV/atom

Cell and atoms, written as extended XYZ:
```
4
Lattice="-1.039 -7.414 0.241 2.771 -5.910 -3.673 1.200 6.435 3.640" Properties=species:S:1:pos:R:3 pbc="T T T"
Mg 0.000 0.000 0.000
Cl 0.514 -3.820 1.082
Mg 2.418 -3.069 -0.875
Te 0.866 -6.662 -1.716
```

---

What should be chosen as the least stable of them? Choose run ii.